# KFe2Ru2O7 GGA+U optimized geometry
# - Fermi-level density of states (states/eV per cell) = 10.406
# - total magnetic moment (μB per formula unit) = 10.16
# - total DFT energy (no corrections) (eV/atom) = -6.564
data_KFe2Ru2O7
_chemical_formula_sum 'K2 Fe4 Ru4 O14'
_cell_length_a 3.793
_cell_length_b 4.211
_cell_length_c 18.398
_cell_angle_alpha 90.00
_cell_angle_beta 90.00
_cell_angle_gamma 90.00
_space_group_name_H-M_alt 'I m m m'
_space_group_IT_number 71
_space_group_name_Hall '-I 2 2'
loop_
_atom_site_label
_atom_site_type_symbol
_atom_site_fract_x
_atom_site_fract_y
_atom_site_fract_z
K1 K 0.000 0.000 0.000
Fe1 Fe 0.000 0.500 0.272
Ru1 Ru 0.000 0.000 0.395
O1 O 0.000 0.000 0.281
O2 O 0.000 0.000 0.500
O3 O 0.000 0.500 0.109
O4 O 0.000 0.500 0.380